[1]
# PrMnP2Os

A relaxed PrMnP2Os crystal (GGA-PBE, Alexandria).

For the formation energy from the elements, the calculation gives -0.797 eV/atom. As for the space-group type: I-4m2, No. 119. For the density of states at the Fermi level, the calculation gives 6.30 states/eV/cell. Its total energy is -8.00 eV/atom.

Structure (CIF):
```
data_PrMnP2Os
_cell_length_a 4.0378
_cell_length_b 4.0378
_cell_length_c 10.1139
_cell_angle_alpha 90.00
_cell_angle_beta 90.00
_cell_angle_gamma 90.00
_space_group_name_H-M_alt 'P 1'
_space_group_IT_number 1
_space_group_name_Hall 'P 1'
loop_
_atom_site_label
_atom_site_fract_x
_atom_site_fract_y
_atom_site_fract_z
Pr1 0.0000 0.0000 0.0000
Pr2 0.5000 0.5000 0.5000
Mn1 0.0000 0.5000 0.7500
Mn2 0.5000 0.0000 0.2500
P1 0.0000 0.0000 0.3597
P2 0.0000 0.0000 0.6403
P3 0.5000 0.5000 0.1403
P4 0.5000 0.5000 0.8597
Os1 0.0000 0.5000 0.2500
Os2 0.5000 0.0000 0.7500
```

[2]
# MnPOsRuSeS

A relaxed MnPOsRuSeS crystal (GGA-PBE, Alexandria).

As for the space-group type: Cm, No. 8. For the density of states at the Fermi level, the calculation gives 3.00 states/eV/cell. Its distance to the lowest polymorph of the same formula is 0.20 eV/f.u. Its total energy is -7.30 eV/atom. Its uncorrected formation energy is -4.32 kcal/mol of atoms.

Structure (CIF):
```
data_MnPOsRuSeS
_cell_length_a 11.7893
_cell_length_b 3.0999
_cell_length_c 5.5606
_cell_angle_alpha 90.00
_cell_angle_beta 115.25
_cell_angle_gamma 90.00
_space_group_name_H-M_alt 'P 1'
_space_group_IT_number 1
_space_group_name_Hall 'P 1'
loop_
_atom_site_label
_atom_site_fract_x
_atom_site_fract_y
_atom_site_fract_z
Mn1 0.0000 0.0000 0.0000
Mn2 0.5000 0.5000 0.0000
P1 0.3612 0.0000 0.0141
P2 0.8612 0.5000 0.0141
Os1 0.2357 0.5000 0.6878
Os2 0.7357 0.0000 0.6878
Ru1 0.3449 0.5000 0.2948
Ru2 0.8449 0.0000 0.2948
Se1 0.0593 0.0000 0.6578
Se2 0.5593 0.5000 0.6578
S1 0.1395 0.5000 0.2270
S2 0.6395 0.0000 0.2270
```

[3]
# MnPOsRuSeS

A relaxed MnPOsRuSeS crystal (GGA-PBE, Alexandria).

As for the space-group type: P1, No. 1. For the density of states at the Fermi level, the calculation gives 3.34 states/eV/cell. Its distance to the lowest polymorph of the same formula is 0.94 eV/f.u. Its total energy is -7.18 eV/atom. Its uncorrected formation energy is -1.50 kcal/mol of atoms.

Structure (CIF):
```
data_MnPOsRuSeS
_cell_length_a 2.8232
_cell_length_b 5.4846
_cell_length_c 6.2077
_cell_angle_alpha 101.21
_cell_angle_beta 97.82
_cell_angle_gamma 95.21
_space_group_name_H-M_alt 'P 1'
_space_group_IT_number 1
_space_group_name_Hall 'P 1'
loop_
_atom_site_label
_atom_site_fract_x
_atom_site_fract_y
_atom_site_fract_z
Mn1 0.0000 0.0000 0.0000
P1 0.5140 0.7637 0.1844
Os1 0.6274 0.3507 0.2298
Ru1 0.1313 0.0422 0.4246
Se1 0.9597 0.6693 0.6170
S1 0.4888 0.2088 0.8346
```

[4]
# MnPOsRuSeS

A relaxed MnPOsRuSeS crystal (GGA-PBE, Alexandria).

As for the space-group type: Pm, No. 6. For the density of states at the Fermi level, the calculation gives 3.84 states/eV/cell. Its distance to the lowest polymorph of the same formula is 0.17 eV/f.u. Its total energy is -7.31 eV/atom. Its uncorrected formation energy is -4.44 kcal/mol of atoms.

Structure (CIF):
```
data_MnPOsRuSeS
_cell_length_a 5.3619
_cell_length_b 3.4009
_cell_length_c 5.6649
_cell_angle_alpha 90.00
_cell_angle_beta 113.79
_cell_angle_gamma 90.00
_space_group_name_H-M_alt 'P 1'
_space_group_IT_number 1
_space_group_name_Hall 'P 1'
loop_
_atom_site_label
_atom_site_fract_x
_atom_site_fract_y
_atom_site_fract_z
Mn1 0.0000 0.0000 0.0000
P1 0.5481 0.0000 0.7967
Os1 0.2241 0.5000 0.7495
Ru1 0.6618 0.5000 0.5791
Se1 0.9373 0.0000 0.4062
S1 0.2895 0.5000 0.1752
```

[5]
# MnPOsRuSeS

A relaxed MnPOsRuSeS crystal (GGA-PBE, Alexandria).

As for the space-group type: Pm, No. 6. For the density of states at the Fermi level, the calculation gives 3.90 states/eV/cell. Its distance to the lowest polymorph of the same formula is 1.81 eV/f.u. Its total energy is -7.04 eV/atom. Its uncorrected formation energy is 1.84 kcal/mol of atoms.

Structure (CIF):
```
data_MnPOsRuSeS
_cell_length_a 3.8814
_cell_length_b 4.3057
_cell_length_c 5.8817
_cell_angle_alpha 90.00
_cell_angle_beta 101.82
_cell_angle_gamma 90.00
_space_group_name_H-M_alt 'P 1'
_space_group_IT_number 1
_space_group_name_Hall 'P 1'
loop_
_atom_site_label
_atom_site_fract_x
_atom_site_fract_y
_atom_site_fract_z
Mn1 0.0000 0.0000 0.0000
P1 0.8051 0.5000 0.0468
Os1 0.8364 0.5000 0.6649
Ru1 0.3826 0.5000 0.2808
Se1 0.1159 0.0000 0.6298
S1 0.5284 0.0000 0.1904
```

[6]
# MnPOsRuSeS

A relaxed MnPOsRuSeS crystal (GGA-PBE, Alexandria).

As for the space-group type: Pm, No. 6. For the density of states at the Fermi level, the calculation gives 3.18 states/eV/cell. Its distance to the lowest polymorph of the same formula is 0.54 eV/f.u. Its total energy is -7.25 eV/atom. Its uncorrected formation energy is -3.02 kcal/mol of atoms.

Structure (CIF):
```
data_MnPOsRuSeS
_cell_length_a 5.7359
_cell_length_b 3.1337
_cell_length_c 5.7593
_cell_angle_alpha 90.00
_cell_angle_beta 112.89
_cell_angle_gamma 90.00
_space_group_name_H-M_alt 'P 1'
_space_group_IT_number 1
_space_group_name_Hall 'P 1'
loop_
_atom_site_label
_atom_site_fract_x
_atom_site_fract_y
_atom_site_fract_z
Mn1 0.0000 0.0000 0.0000
P1 0.7182 0.5000 0.6797
Os1 0.5040 0.0000 0.8294
Ru1 0.7593 0.5000 0.2949
Se1 0.1110 0.0000 0.4476
S1 0.3291 0.5000 0.0599
```